Record 1
Computed, not measured: an optimized crystal structure of TaSiS2 at the GGA-PBE level of DFT.

Output
DOS at the Fermi energy = 7.17 states/eV/cell
M_tot = 0.00 μB per formula unit
uncorrected formation energy = -46 meV/atom

Lattice parameters (Å, degrees): 3.2206 3.2206 22.8976 90.00 90.00 120.00
Space group R-3m (No. 166, hexagonal axes)
Unique sites:
Ta (0.0000, 0.0000, 0.0000)
Si (0.0000, 0.0000, 0.5000)
S (0.0000, 0.0000, 0.1065)



Record 2
Computed, not measured: an optimized crystal structure of TaSiS6 at the GGA-PBE level of DFT.

Output
DOS at the Fermi energy = 2.26 states/eV/cell
M_tot = 0.00 μB per formula unit
uncorrected formation energy = -326 meV/atom

Lattice parameters (Å, degrees): 5.9243 5.9642 5.9841 119.21 99.99 108.85
Space group P-1 (No. 2)
Unique sites:
Ta (0.0000, 0.0000, 0.0000)
Si (0.5000, 0.0000, 0.5000)
S (0.1665, 0.0832, 0.6683)
S (0.2733, 0.7995, 0.0638)
S (0.3318, 0.4928, 0.3938)



Record 3
Computed, not measured: an optimized crystal structure of Ta2SiS at the GGA-PBE level of DFT.

Output
DOS at the Fermi energy = 11.46 states/eV/cell
M_tot = 0.00 μB per formula unit
uncorrected formation energy = 412 meV/atom
ΔE to the lowest computed polymorph = 683 meV per atom

Lattice parameters (Å, degrees): 5.3821 5.3821 12.0625 90.00 90.00 90.00
Space group I-42d (No. 122)
Unique sites:
Ta (0.2318, 0.2500, 0.1250)
Si (0.0000, 0.0000, 0.5000)
S (0.0000, 0.0000, 0.0000)



Record 4
Computed, not measured: an optimized crystal structure of TaSiS2 at the GGA-PBE level of DFT.

Output
DOS at the Fermi energy = 4.27 states/eV/cell
M_tot = 0.00 μB per formula unit
uncorrected formation energy = -440 meV/atom

Lattice parameters (Å, degrees): 3.2350 3.2350 24.9655 90.00 90.00 120.00
Space group R-3m (No. 166, hexagonal axes)
Unique sites:
Ta (0.0000, 0.0000, 0.0000)
Si (0.0000, 0.0000, 0.5000)
S (0.0000, 0.0000, 0.3984)



Record 5
Computed, not measured: an optimized crystal structure of TaSi2S8 at the GGA-PBE level of DFT.

Output
DOS at the Fermi energy = 7.10 states/eV/cell
M_tot = 0.53 μB per formula unit
uncorrected formation energy = -476 meV/atom

Lattice parameters (Å, degrees): 9.4599 12.1829 5.9105 90.00 107.31 90.00
Space group C2/m (No. 12)
Unique sites:
Ta (0.0000, 0.0000, 0.0000)
Si (0.2163, 0.0000, 0.7081)
S (0.0383, 0.5000, 0.1810)
S (0.1234, 0.1389, 0.8259)
S (0.2261, 0.0000, 0.3563)



Record 6
Computed, not measured: an optimized crystal structure of TaSiS2 at the GGA-PBE level of DFT.

Output
DOS at the Fermi energy = 10.97 states/eV/cell
M_tot = 0.74 μB per formula unit
uncorrected formation energy = 187 meV/atom

Lattice parameters (Å, degrees): 5.7248 5.7248 10.3219 90.00 90.00 90.00
Space group I-42d (No. 122)
Unique sites:
Ta (0.0000, 0.0000, 0.0000)
Si (0.0000, 0.0000, 0.5000)
S (0.2432, 0.2500, 0.1250)



Record 7
Computed, not measured: an optimized crystal structure of Tb3SiS6 at the GGA-PBE level of DFT.

Output
DOS at the Fermi energy = 13.65 states/eV/cell
M_tot = 0.00 μB per formula unit
uncorrected formation energy = -1618 meV/atom

Lattice parameters (Å, degrees): 10.6957 13.2362 6.4693 90.00 90.00 90.00
Space group Cmc2_1 (No. 36)
Unique sites:
Tb (0.0000, 0.0938, 0.0000)
Tb (0.1817, 0.4048, 0.0954)
Si (0.0000, 0.2982, 0.6411)
S (0.0000, 0.2882, 0.3072)
S (0.0000, 0.4541, 0.7599)
S (0.1607, 0.2356, 0.8005)
S (0.1619, 0.0342, 0.2982)



Record 8
Computed, not measured: an optimized crystal structure of Tb12Si5S28 at the GGA-PBE level of DFT.

Output
DOS at the Fermi energy = 0.00 states/eV/cell
M_tot = 0.00 μB per formula unit
uncorrected formation energy = -1600 meV/atom

Lattice parameters (Å, degrees): 9.8386 11.3878 11.4011 60.62 64.47 64.42
Space group P1 (No. 1)
Unique sites:
Tb (0.0000, 0.0000, 0.0000)
Tb (0.0011, 0.5176, 0.4635)
Tb (0.0935, 0.2343, 0.1762)
Tb (0.1041, 0.6961, 0.6992)
Tb (0.2148, 0.5758, 0.0621)
Tb (0.2371, 0.0841, 0.5392)
Tb (0.5068, 0.9507, 0.9477)
Tb (0.5200, 0.4715, 0.4174)
Tb (0.6462, 0.3388, 0.7895)
Tb (0.6487, 0.8085, 0.3016)
Tb (0.7326, 0.0404, 0.4975)
Tb (0.7436, 0.5294, 0.0136)
Si (0.2046, 0.8557, 0.2483)
Si (0.2056, 0.3472, 0.7378)
Si (0.5368, 0.7740, 0.6590)
Si (0.5385, 0.2720, 0.1544)
Si (0.8726, 0.9912, 0.7717)
S (0.0091, 0.9879, 0.5496)
S (0.0387, 0.5038, 0.9918)
S (0.1068, 0.8388, 0.8391)
S (0.1268, 0.3322, 0.3322)
S (0.2026, 0.6707, 0.4299)
S (0.2062, 0.1655, 0.9241)
S (0.2829, 0.8131, 0.0612)
S (0.2916, 0.3118, 0.5476)
S (0.3423, 0.9770, 0.2179)
S (0.3598, 0.4574, 0.7009)
S (0.3905, 0.8037, 0.5456)
S (0.3979, 0.3053, 0.0347)
S (0.4514, 0.9638, 0.6974)
S (0.4524, 0.4593, 0.1960)
S (0.5316, 0.5954, 0.8478)
S (0.5442, 0.0824, 0.3336)
S (0.6077, 0.6833, 0.1766)
S (0.6472, 0.1472, 0.7041)
S (0.7098, 0.5100, 0.5097)
S (0.7213, 0.0003, 0.9989)
S (0.7649, 0.7768, 0.5144)
S (0.7675, 0.2744, 0.0087)
S (0.7756, 0.3012, 0.3015)
S (0.7842, 0.8064, 0.8058)
S (0.9605, 0.1721, 0.7288)
S (0.9643, 0.7181, 0.2128)
S (0.9755, 0.4909, 0.7340)
S (0.9789, 0.0071, 0.2488)



Record 9
Computed, not measured: an optimized crystal structure of Tb4SiS2 at the GGA-PBE level of DFT.

Output
DOS at the Fermi energy = 18.02 states/eV/cell
M_tot = 0.00 μB per formula unit
uncorrected formation energy = -1390 meV/atom

Lattice parameters (Å, degrees): 3.9801 12.7627 13.2007 90.00 90.00 90.00
Space group Cmcm (No. 63)
Unique sites:
Tb (0.0000, 0.0000, 0.0000)
Tb (0.0000, 0.2747, 0.1229)
Tb (0.0000, 0.4473, 0.7500)
Si (0.0000, 0.1089, 0.7500)
S (0.0000, 0.3635, 0.5618)



Record 10
Computed, not measured: an optimized crystal structure of Tb2SiS6 at the GGA-PBE level of DFT.

Output
DOS at the Fermi energy = 12.37 states/eV/cell
M_tot = 0.00 μB per formula unit
uncorrected formation energy = -985 meV/atom

Lattice parameters (Å, degrees): 6.0143 6.0143 11.8116 90.00 90.00 90.00
Space group P4_2/mnm (No. 136)
Unique sites:
Tb (0.0000, 0.0000, 0.1677)
Si (0.0000, 0.0000, 0.5000)
S (0.1826, 0.1826, 0.3582)
S (0.2286, 0.2286, 0.0000)



Record 11
Computed, not measured: an optimized crystal structure of Tb2SiS4 at the GGA-PBE level of DFT.

Output
M_tot = 0.00 μB per formula unit
uncorrected formation energy = -1124 meV/atom

Lattice parameters (Å, degrees): 6.1783 6.1783 11.3764 90.00 90.00 90.00
Space group I-42m (No. 121)
Unique sites:
Tb (0.0000, 0.5000, 0.2500)
Si (0.0000, 0.0000, 0.0000)
S (0.2311, 0.2311, 0.1209)